Record 1
# VCd2FeGe, optimized geometry, DFT PBE
# E ... -3.67 eV per atom
# Fermi-level density of states ... 7.76 states/eV/cell
# Energy relative to the elements ... 109.7 kJ per mole of atoms
data_VCd2FeGe
_chemical_formula_sum 'V1 Cd2 Fe1 Ge1'
_symmetry_space_group_name_H-M 'P 1'
_symmetry_Int_Tables_number 1
_symmetry_space_group_name_Hall 'P 1'
_cell_length_a 5.005
_cell_length_b 5.005
_cell_length_c 4.765
_cell_angle_alpha 90.00
_cell_angle_beta 90.00
_cell_angle_gamma 90.00
loop_
_atom_site_label
_atom_site_type_symbol
_atom_site_fract_x
_atom_site_fract_y
_atom_site_fract_z
_atom_site_occupancy
V1 V 0.000 0.000 0.000 1
Cd1 Cd 0.000 0.500 0.500 1
Cd2 Cd 0.500 0.000 0.500 1
Fe1 Fe 0.500 0.500 0.000 1
Ge1 Ge 0.000 0.000 0.500 1

Record 2
# LaNdHo2Se6, optimized geometry, DFT PBE
# E ... -5.86 eV per atom
# Fermi-level density of states ... 0.00 states/eV/cell
# Formation energy from raw total energies ... -1813 kJ/mol of formula units
data_LaNdHo2Se6
_chemical_formula_sum 'La1 Nd1 Ho2 Se6'
_symmetry_space_group_name_H-M 'P 1'
_symmetry_Int_Tables_number 1
_symmetry_space_group_name_Hall 'P 1'
_cell_length_a 7.762
_cell_length_b 7.762
_cell_length_c 7.762
_cell_angle_alpha 56.78
_cell_angle_beta 56.78
_cell_angle_gamma 56.78
loop_
_atom_site_label
_atom_site_type_symbol
_atom_site_fract_x
_atom_site_fract_y
_atom_site_fract_z
_atom_site_occupancy
La1 La 0.000 0.000 0.000 1
Nd1 Nd 0.497 0.497 0.497 1
Ho1 Ho 0.295 0.295 0.295 1
Ho2 Ho 0.796 0.796 0.796 1
Se1 Se 0.078 0.672 0.422 1
Se2 Se 0.181 0.580 0.913 1
Se3 Se 0.422 0.078 0.672 1
Se4 Se 0.580 0.913 0.181 1
Se5 Se 0.672 0.422 0.078 1
Se6 Se 0.913 0.181 0.580 1

Record 3
# CdHgTe2, optimized geometry, DFT PBE
# E ... -1.72 eV per atom
# Fermi-level density of states ... 2.43 states/eV/cell
# E above lowest polymorph ... 469 meV/atom
# Formation energy from raw total energies ... 61 kJ/mol of formula units
data_CdHgTe2
_chemical_formula_sum 'Cd1 Hg1 Te2'
_symmetry_space_group_name_H-M 'P 1'
_symmetry_Int_Tables_number 1
_symmetry_space_group_name_Hall 'P 1'
_cell_length_a 5.373
_cell_length_b 5.373
_cell_length_c 5.373
_cell_angle_alpha 60.00
_cell_angle_beta 60.00
_cell_angle_gamma 60.00
loop_
_atom_site_label
_atom_site_type_symbol
_atom_site_fract_x
_atom_site_fract_y
_atom_site_fract_z
_atom_site_occupancy
Cd1 Cd 0.000 0.000 0.000 1
Hg1 Hg 0.250 0.250 0.250 1
Te1 Te 0.500 0.500 0.500 1
Te2 Te 0.750 0.750 0.750 1

Record 4
# Ca2SnSe, optimized geometry, DFT PBE
# E ... -3.69 eV per atom
# Fermi-level density of states ... 3.91 states/eV/cell
# E above lowest polymorph ... 403 meV/atom
# Formation energy from raw total energies ... -315 kJ/mol of formula units
data_Ca2SnSe
_chemical_formula_sum 'Ca2 Sn1 Se1'
_symmetry_space_group_name_H-M 'P 1'
_symmetry_Int_Tables_number 1
_symmetry_space_group_name_Hall 'P 1'
_cell_length_a 5.376
_cell_length_b 5.376
_cell_length_c 5.376
_cell_angle_alpha 60.00
_cell_angle_beta 60.00
_cell_angle_gamma 60.00
loop_
_atom_site_label
_atom_site_type_symbol
_atom_site_fract_x
_atom_site_fract_y
_atom_site_fract_z
_atom_site_occupancy
Ca1 Ca 0.250 0.250 0.250 1
Ca2 Ca 0.750 0.750 0.750 1
Sn1 Sn 0.000 0.000 0.000 1
Se1 Se 0.500 0.500 0.500 1

Record 5
# BeGeN2, optimized geometry, DFT PBE
# E ... -4.99 eV per atom
# Fermi-level density of states ... 1.97 states/eV/cell
# Formation energy from raw total energies ... 488 kJ/mol of formula units
data_BeGeN2
_chemical_formula_sum 'Be1 Ge1 N2'
_symmetry_space_group_name_H-M 'P 1'
_symmetry_Int_Tables_number 1
_symmetry_space_group_name_Hall 'P 1'
_cell_length_a 3.672
_cell_length_b 3.672
_cell_length_c 3.672
_cell_angle_alpha 60.00
_cell_angle_beta 60.00
_cell_angle_gamma 60.00
loop_
_atom_site_label
_atom_site_type_symbol
_atom_site_fract_x
_atom_site_fract_y
_atom_site_fract_z
_atom_site_occupancy
Be1 Be 0.000 0.000 0.000 1
Ge1 Ge 0.500 0.500 0.500 1
N1 N 0.250 0.250 0.250 1
N2 N 0.750 0.750 0.750 1

Record 6
# LiZrTiRh, optimized geometry, DFT PBE
# E ... -6.72 eV per atom
# Fermi-level density of states ... 2.67 states/eV/cell
# Energy relative to the elements ... -28.4 kJ per mole of atoms
data_LiZrTiRh
_chemical_formula_sum 'Li1 Zr1 Ti1 Rh1'
_symmetry_space_group_name_H-M 'P 1'
_symmetry_Int_Tables_number 1
_symmetry_space_group_name_Hall 'P 1'
_cell_length_a 4.542
_cell_length_b 4.542
_cell_length_c 4.542
_cell_angle_alpha 60.00
_cell_angle_beta 60.00
_cell_angle_gamma 60.00
loop_
_atom_site_label
_atom_site_type_symbol
_atom_site_fract_x
_atom_site_fract_y
_atom_site_fract_z
_atom_site_occupancy
Li1 Li 0.000 0.000 0.000 1
Zr1 Zr 0.750 0.750 0.750 1
Ti1 Ti 0.250 0.250 0.250 1
Rh1 Rh 0.500 0.500 0.500 1

Record 7
# KBa2Ni, optimized geometry, DFT PBE
# E ... -2.22 eV per atom
# Fermi-level density of states ... 4.26 states/eV/cell
# E above lowest polymorph ... 424 meV/atom
# Energy relative to the elements ... 44.5 kJ per mole of atoms
data_KBa2Ni
_chemical_formula_sum 'K1 Ba2 Ni1'
_symmetry_space_group_name_H-M 'P 1'
_symmetry_Int_Tables_number 1
_symmetry_space_group_name_Hall 'P 1'
_cell_length_a 5.821
_cell_length_b 5.821
_cell_length_c 4.817
_cell_angle_alpha 90.00
_cell_angle_beta 90.00
_cell_angle_gamma 90.00
loop_
_atom_site_label
_atom_site_type_symbol
_atom_site_fract_x
_atom_site_fract_y
_atom_site_fract_z
_atom_site_occupancy
K1 K 0.000 0.000 0.000 1
Ba1 Ba 0.000 0.500 0.500 1
Ba2 Ba 0.500 0.000 0.500 1
Ni1 Ni 0.500 0.500 0.000 1

Record 8
# TmPt2Pb, optimized geometry, DFT PBE
# E ... -5.83 eV per atom
# Fermi-level density of states ... 1.55 states/eV/cell
# Energy relative to the elements ... -74.2 kJ per mole of atoms
data_TmPt2Pb
_chemical_formula_sum 'Tm1 Pt2 Pb1'
_symmetry_space_group_name_H-M 'P 1'
_symmetry_Int_Tables_number 1
_symmetry_space_group_name_Hall 'P 1'
_cell_length_a 3.548
_cell_length_b 3.548
_cell_length_c 6.660
_cell_angle_alpha 90.00
_cell_angle_beta 90.00
_cell_angle_gamma 90.00
loop_
_atom_site_label
_atom_site_type_symbol
_atom_site_fract_x
_atom_site_fract_y
_atom_site_fract_z
_atom_site_occupancy
Tm1 Tm 0.000 0.000 0.000 1
Pt1 Pt 0.500 0.500 0.225 1
Pt2 Pt 0.500 0.500 0.775 1
Pb1 Pb 0.000 0.000 0.500 1

Record 9
# LaNb3Rh, optimized geometry, DFT PBE
# E ... -7.84 eV per atom
# Fermi-level density of states ... 6.82 states/eV/cell
# E above lowest polymorph ... 0 meV/atom
# Energy relative to the elements ... 63.5 kJ per mole of atoms
data_LaNb3Rh
_chemical_formula_sum 'La1 Nb3 Rh1'
_symmetry_space_group_name_H-M 'P 1'
_symmetry_Int_Tables_number 1
_symmetry_space_group_name_Hall 'P 1'
_cell_length_a 4.946
_cell_length_b 4.946
_cell_length_c 4.946
_cell_angle_alpha 90.00
_cell_angle_beta 90.00
_cell_angle_gamma 90.00
loop_
_atom_site_label
_atom_site_type_symbol
_atom_site_fract_x
_atom_site_fract_y
_atom_site_fract_z
_atom_site_occupancy
La1 La 0.000 0.000 0.000 1
Nb1 Nb 0.000 0.500 0.500 1
Nb2 Nb 0.500 0.000 0.500 1
Nb3 Nb 0.500 0.500 0.000 1
Rh1 Rh 0.500 0.500 0.500 1

Record 10
# MnAs2P, optimized geometry, DFT PBE
# E ... -5.62 eV per atom
# Fermi-level density of states ... 2.13 states/eV/cell
# Energy relative to the elements ... 34.0 kJ per mole of atoms
data_MnAs2P
_chemical_formula_sum 'Mn1 As2 P1'
_symmetry_space_group_name_H-M 'P 1'
_symmetry_Int_Tables_number 1
_symmetry_space_group_name_Hall 'P 1'
_cell_length_a 2.749
_cell_length_b 2.749
_cell_length_c 8.901
_cell_angle_alpha 90.00
_cell_angle_beta 90.00
_cell_angle_gamma 97.70
loop_
_atom_site_label
_atom_site_type_symbol
_atom_site_fract_x
_atom_site_fract_y
_atom_site_fract_z
_atom_site_occupancy
Mn1 Mn 0.000 0.000 0.000 1
As1 As 0.500 0.500 0.205 1
As2 As 0.500 0.500 0.795 1
P1 P 0.000 0.000 0.500 1

Record 11
# SrCa2Mo, optimized geometry, DFT PBE
# E ... -3.45 eV per atom
# Fermi-level density of states ... 2.77 states/eV/cell
# E above lowest polymorph ... 43 meV/atom
# Energy relative to the elements ... 65.2 kJ per mole of atoms
data_SrCa2Mo
_chemical_formula_sum 'Sr1 Ca2 Mo1'
_symmetry_space_group_name_H-M 'P 1'
_symmetry_Int_Tables_number 1
_symmetry_space_group_name_Hall 'P 1'
_cell_length_a 6.980
_cell_length_b 6.980
_cell_length_c 6.980
_cell_angle_alpha 148.34
_cell_angle_beta 129.61
_cell_angle_gamma 60.74
loop_
_atom_site_label
_atom_site_type_symbol
_atom_site_fract_x
_atom_site_fract_y
_atom_site_fract_z
_atom_site_occupancy
Sr1 Sr 0.000 0.000 0.000 1
Ca1 Ca 0.297 0.797 0.500 1
Ca2 Ca 0.703 0.203 0.500 1
Mo1 Mo 0.500 0.500 0.000 1

Record 12
# ZrBeAs2, optimized geometry, DFT PBE
# E ... -5.61 eV per atom
# Fermi-level density of states ... 1.18 states/eV/cell
# Energy relative to the elements ... -21.4 kJ per mole of atoms
data_ZrBeAs2
_chemical_formula_sum 'Zr1 Be1 As2'
_symmetry_space_group_name_H-M 'P 1'
_symmetry_Int_Tables_number 1
_symmetry_space_group_name_Hall 'P 1'
_cell_length_a 4.386
_cell_length_b 4.386
_cell_length_c 3.516
_cell_angle_alpha 90.00
_cell_angle_beta 90.00
_cell_angle_gamma 90.00
loop_
_atom_site_label
_atom_site_type_symbol
_atom_site_fract_x
_atom_site_fract_y
_atom_site_fract_z
_atom_site_occupancy
Zr1 Zr 0.000 0.000 0.000 1
Be1 Be 0.500 0.500 0.000 1
As1 As 0.000 0.500 0.500 1
As2 As 0.500 0.000 0.500 1

Look up the Fermi-level density of states of the fifth one. 1.97 states/eV/cell

Look up the E of the sixth one. -6.72 eV per atom

Among the records above, which one has the lowest E? LaNb3Rh